This record from the Alexandria database describes a relaxed Y3CoBi crystal. The functional is PBE.

energy relative to the elements = -0.341 eV per atom
excess energy over the best structure of this formula in the dataset = 113.1 meV/atom
total energy = -0.236 Ha/atom

Cell: 5.1882 5.1882 5.1882 Å, 90.00 90.00 90.00°
With the nearest neighbours (Å) after each atom.
Fractional positions:
Y (0.0000, 0.0000, 0.5000)  2 Co 2.59
Y (0.0000, 0.5000, 0.0000)  2 Co 2.59
Y (0.5000, 0.0000, 0.0000)  2 Co 2.59
Co (0.0000, 0.0000, 0.0000)  6 Y 2.59
Bi (0.5000, 0.5000, 0.5000)  12 Y 3.67